The following is a DFT calculation (PBEsol) of NdAl2 after structural relaxation.

Summary:
**E_tot**: -4.962 eV/atom
**Formation energy**: -1.54 eV/f.u.

abc: 7.964 7.964 7.964
angles: 90.00 90.00 90.00
Space group Fd-3m (No. 227, origin choice 2)
Symmetry-distinct sites (fractional):
Nd 0.125 0.125 0.125 x8
Al 0.000 0.000 0.500 x16


The following is a DFT calculation (PBEsol) of La3SiIr after structural relaxation.

Summary:
**E_tot**: -6.521 eV/atom
**ΔE_f (raw)**: -0.20 eV per atom

abc: 5.445 5.445 5.445
angles: 90.00 90.00 90.00
Space group Pm-3m (No. 221)
Symmetry-distinct sites (fractional):
La 0.000 0.000 0.500 x3
Si 0.500 0.500 0.500 x1
Ir 0.000 0.000 0.000 x1